Entry 1:
GdZn2 PBE optimized geometry; crystal system = orthorhombic
1.0
4.519 0.001 0.001
2.260 5.237 0.149
2.260 0.184 5.236
Zn Gd
4 2
direct
0.166 0.379 0.290 Zn
0.834 0.210 0.121 Zn
0.834 0.621 0.710 Zn
0.166 0.790 0.879 Zn
0.469 0.781 0.281 Gd
0.531 0.219 0.719 Gd



Entry 2:
GdZrZn PBE optimized geometry; crystal system = tetragonal
1.0
-0.909 -1.909 2.660
-0.779 -2.556 -2.100
6.462 0.162 0.155
Zn Gd Zr
1 1 1
direct
0.679 0.679 0.358 Zn
0.007 0.007 0.013 Gd
0.314 0.314 0.629 Zr



Entry 3:
GdZrZn4 PBE optimized geometry; crystal system = cubic
1.0
-2.961 2.004 -4.001
-4.986 1.734 0.960
-1.092 5.251 -0.160
Zn Gd Zr
4 1 1
direct
0.626 0.626 0.122 Zn
0.626 0.122 0.626 Zn
0.626 0.626 0.626 Zn
0.122 0.626 0.626 Zn
0.250 0.250 0.250 Gd
0.000 0.000 0.000 Zr



Entry 4:
GdZrZn PBE optimized geometry; crystal system = trigonal
1.0
-0.155 -3.411 -0.338
0.667 0.448 -4.818
3.853 -0.469 2.966
Zn Gd Zr
1 1 1
direct
0.176 0.333 0.667 Zn
0.664 0.667 0.333 Gd
0.160 0.000 0.000 Zr



Entry 5:
GdZr2 PBE optimized geometry; crystal system = tetragonal
1.0
3.229 0.000 0.000
0.000 3.229 0.000
-1.615 -1.615 7.377
Gd Zr
1 2
direct
0.000 0.000 0.000 Gd
0.676 0.676 0.352 Zr
0.324 0.324 0.648 Zr



Entry 6:
GdZr2 PBE optimized geometry; crystal system = cubic
1.0
-2.446 0.160 -5.607
2.094 -3.749 -4.360
-3.464 -4.648 -1.962
Gd Zr
2 4
direct
0.000 0.000 0.000 Gd
0.250 0.250 0.250 Gd
0.125 0.625 0.625 Zr
0.625 0.125 0.625 Zr
0.625 0.625 0.625 Zr
0.625 0.625 0.125 Zr



Entry 7:
Gd2Zr PBE optimized geometry; crystal system = tetragonal
1.0
3.393 0.000 0.000
0.000 3.393 0.000
-1.696 -1.696 7.498
Gd Zr
2 1
direct
0.654 0.654 0.309 Gd
0.346 0.346 0.691 Gd
0.000 0.000 0.000 Zr



Entry 8:
GdZr PBE optimized geometry; crystal system = hexagonal
1.0
3.392 0.000 0.000
1.696 2.937 0.000
0.000 0.000 5.431
Gd Zr
1 1
direct
0.333 0.333 0.250 Gd
0.667 0.667 0.750 Zr



no.,energy of formation from the pure elements (eV per atom)
1,-0.38
2,-0.14
3,-0.27
4,0.03
5,0.11
6,0.23
7,0.08
8,0.12